TaMn2Cr | PBEsol | relaxed

Crystal system: monoclinic
Total magnetization (μB per formula unit): 1.27
DFT formation energy (eV per formula unit): 0.62
VASP energy (eV per atom): -10.4236

abc: 5.086 8.048 2.613
angles: 90.00 110.47 90.00
Space group C2/m (No. 12)
Asymmetric unit:
1 Ta 0.000 0.000 0.000
2 Mn 0.250 0.250 0.500
3 Cr 0.000 0.500 0.000